(1)
{
  "formula": "AsPdRuS2",
  "functional": "PBE-GGA",
  "state": "relaxed",
  "rho_g_cm3": 5.502,
  "magnetic_moment_mub_per_cell": 2.71,
  "dos_at_fermi_per_ev_atom": 1.3770,
  "final_energy_ev_per_cell": -21.964,
  "e_form_raw_kj_per_mol_fu": 522,
  "sg": "P4/mmm, No. 123",
  "cell": [[-3.650, -2.768, 0.990], [2.981, -3.592, 0.943], [0.199, 1.342, 4.486]],
  "species": ["Ru", "As", "S", "S", "Pd"],
  "frac_coords": [[0.500, 0.500, 0.500], [0.000, 0.500, 0.000], [0.000, 0.000, 0.500], [0.500, 0.000, 0.000], [0.000, 0.000, 0.000]]
}

---

(2)
{
  "formula": "As2PdRuSe",
  "functional": "PBE-GGA",
  "state": "relaxed",
  "rho_g_cm3": 6.483,
  "magnetic_moment_mub_per_cell": 0.00,
  "relative_energy_mev_per_atom": 0,
  "dos_at_fermi_per_ev_atom": 1.0487,
  "final_energy_ev_per_cell": -24.260,
  "e_form_raw_kj_per_mol_fu": 289,
  "sg": "P4/mmm, No. 123",
  "cell": [[-0.130, 1.015, 4.497], [0.582, -4.460, 1.023], [5.209, 0.679, -0.002]],
  "species": ["Ru", "As", "As", "Se", "Pd"],
  "frac_coords": [[0.000, 0.000, 0.000], [0.000, 0.500, 0.000], [0.500, 0.000, 0.000], [0.000, 0.000, 0.500], [0.500, 0.500, 0.500]]
}

---

(3)
{
  "formula": "AsPdRuSe2",
  "functional": "PBE-GGA",
  "state": "relaxed",
  "rho_g_cm3": 6.533,
  "magnetic_moment_mub_per_cell": 0.00,
  "relative_energy_mev_per_atom": 0,
  "dos_at_fermi_per_ev_atom": 1.4541,
  "final_energy_ev_per_cell": -22.893,
  "e_form_raw_kj_per_mol_fu": 308,
  "sg": "P4/mmm, No. 123",
  "cell": [[-3.922, 1.842, -2.352], [-2.961, -1.879, 3.465], [0.372, 3.895, 2.430]],
  "species": ["Ru", "As", "Se", "Se", "Pd"],
  "frac_coords": [[0.000, 0.000, 0.000], [0.000, 0.000, 0.500], [0.000, 0.500, 0.000], [0.500, 0.000, 0.000], [0.500, 0.500, 0.500]]
}

---

(4)
{
  "formula": "UAs2Pd2Ru",
  "functional": "PBE-GGA",
  "state": "relaxed",
  "rho_g_cm3": 11.087,
  "magnetic_moment_mub_per_cell": 2.31,
  "dos_at_fermi_per_ev_atom": 1.0188,
  "final_energy_ev_per_cell": -85.280,
  "formation_energy_ev_per_atom": -0.399,
  "sg": "Pmc2_1, No. 26",
  "cell": [[-0.804, -3.547, 1.210], [1.617, -2.393, -5.941], [7.858, -0.926, 2.511]],
  "species": ["U", "U", "As", "As", "As", "As", "Pd", "Pd", "Pd", "Pd", "Ru", "Ru"],
  "frac_coords": [[0.000, 0.962, 0.420], [0.000, 0.462, 0.580], [0.000, 0.239, 0.888], [0.500, 0.278, 0.355], [0.000, 0.739, 0.112], [0.500, 0.778, 0.645], [0.500, 0.016, 0.097], [0.000, 0.365, 0.165], [0.500, 0.516, 0.903], [0.000, 0.865, 0.835], [0.500, 0.186, 0.663], [0.500, 0.686, 0.337]]
}

---

(5)
{
  "formula": "AsPdS",
  "functional": "PBE-GGA",
  "state": "relaxed",
  "rho_g_cm3": 6.278,
  "magnetic_moment_mub_per_cell": 0.00,
  "dos_at_fermi_per_ev_atom": 0.3998,
  "final_energy_ev_per_cell": -59.862,
  "e_form_raw_kj_per_mol_fu": -96,
  "sg": "P2_1/c, No. 14",
  "cell": [[-4.577, -3.555, -1.552], [3.215, -1.977, -4.951], [1.717, -4.084, 4.293]],
  "species": ["As", "As", "As", "As", "Pd", "Pd", "Pd", "Pd", "S", "S", "S", "S"],
  "frac_coords": [[0.617, 0.855, 0.648], [0.383, 0.145, 0.352], [0.117, 0.645, 0.352], [0.883, 0.355, 0.648], [0.998, 0.244, 0.245], [0.502, 0.744, 0.245], [0.002, 0.756, 0.755], [0.498, 0.256, 0.755], [0.609, 0.337, 0.156], [0.391, 0.663, 0.844], [0.891, 0.837, 0.156], [0.109, 0.163, 0.844]]
}

---

(6)
{
  "formula": "AsPd2S",
  "functional": "PBE-GGA",
  "state": "relaxed",
  "rho_g_cm3": 6.306,
  "magnetic_moment_mub_per_cell": 0.00,
  "dos_at_fermi_per_ev_atom": 0.8326,
  "final_energy_ev_per_cell": -39.051,
  "e_form_raw_kj_per_mol_fu": -35,
  "sg": "I-42d, No. 122",
  "cell": [[5.688, 0.000, 0.000], [0.000, 5.688, 0.000], [2.844, 2.844, 5.206]],
  "species": ["As", "As", "S", "S", "Pd", "Pd", "Pd", "Pd"],
  "frac_coords": [[0.000, 0.000, 0.000], [0.750, 0.250, 0.500], [0.500, 0.500, 0.000], [0.250, 0.750, 0.500], [0.611, 0.125, 0.250], [0.139, 0.625, 0.250], [0.375, 0.389, 0.750], [0.875, 0.861, 0.750]]
}

---

(7)
{
  "formula": "AsPd3S",
  "functional": "PBE-GGA",
  "state": "relaxed",
  "rho_g_cm3": 7.011,
  "magnetic_moment_mub_per_cell": 0.00,
  "relative_energy_mev_per_atom": 644,
  "dos_at_fermi_per_ev_atom": 0.6178,
  "final_energy_ev_per_cell": -22.356,
  "e_form_raw_kj_per_mol_fu": 193,
  "sg": "Pm-3m, No. 221",
  "cell": [[4.656, 0.000, 0.000], [0.000, 4.656, 0.000], [0.000, 0.000, 4.656]],
  "species": ["As", "S", "Pd", "Pd", "Pd"],
  "frac_coords": [[0.000, 0.000, 0.000], [0.500, 0.500, 0.500], [0.000, 0.500, 0.000], [0.000, 0.000, 0.500], [0.500, 0.000, 0.000]]
}

---

(8)
{
  "formula": "AsPd2S",
  "functional": "PBE-GGA",
  "state": "relaxed",
  "rho_g_cm3": 7.482,
  "magnetic_moment_mub_per_cell": 0.00,
  "dos_at_fermi_per_ev_atom": 0.9012,
  "final_energy_ev_per_cell": -19.595,
  "e_form_raw_kj_per_mol_fu": -42,
  "sg": "R3m, No. 160",
  "cell": [[-0.614, 3.662, -1.690], [0.053, 0.408, -4.059], [-5.029, 0.475, -2.068]],
  "species": ["As", "Pd", "Pd", "S"],
  "frac_coords": [[0.667, 0.667, 0.000], [0.064, 0.064, 0.807], [0.264, 0.264, 0.208], [0.505, 0.505, 0.485]]
}

---

(9)
{
  "formula": "AsPdS4",
  "functional": "PBE-GGA",
  "state": "relaxed",
  "rho_g_cm3": 4.037,
  "magnetic_moment_mub_per_cell": 0.00,
  "dos_at_fermi_per_ev_atom": 0.5002,
  "final_energy_ev_per_cell": -26.713,
  "e_form_raw_kj_per_mol_fu": -35,
  "sg": "P2/m, No. 10",
  "cell": [[3.486, 0.000, 0.000], [0.000, 5.778, -1.564], [0.000, -0.222, 6.382]],
  "species": ["As", "Pd", "S", "S", "S", "S"],
  "frac_coords": [[0.000, 0.500, 0.500], [0.500, 0.000, 0.500], [0.000, 0.232, 0.722], [0.000, 0.768, 0.278], [0.500, 0.747, 0.731], [0.500, 0.253, 0.269]]
}

---

(10)
{
  "formula": "As2Pd5S",
  "functional": "PBE-GGA",
  "state": "relaxed",
  "rho_g_cm3": 7.568,
  "magnetic_moment_mub_per_cell": 0.00,
  "dos_at_fermi_per_ev_atom": 0.5248,
  "final_energy_ev_per_cell": -81.657,
  "e_form_raw_kj_per_mol_fu": -139,
  "sg": "Cmcm, No. 63",
  "cell": [[3.593, 0.000, 0.000], [-1.796, 6.805, 0.000], [0.000, 0.000, 12.816]],
  "species": ["As", "As", "As", "As", "Pd", "Pd", "Pd", "Pd", "Pd", "Pd", "Pd", "Pd", "Pd", "Pd", "S", "S"],
  "frac_coords": [[0.882, 0.765, 0.406], [0.882, 0.765, 0.094], [0.118, 0.235, 0.594], [0.118, 0.235, 0.906], [0.941, 0.883, 0.912], [0.941, 0.883, 0.588], [0.264, 0.528, 0.419], [0.264, 0.528, 0.081], [0.745, 0.489, 0.250], [0.255, 0.511, 0.750], [0.736, 0.472, 0.581], [0.736, 0.472, 0.919], [0.059, 0.117, 0.088], [0.059, 0.117, 0.412], [0.870, 0.739, 0.750], [0.130, 0.261, 0.250]]
}

---

(11)
{
  "formula": "AsPd2S",
  "functional": "PBE-GGA",
  "state": "relaxed",
  "rho_g_cm3": 6.332,
  "magnetic_moment_mub_per_cell": 0.00,
  "dos_at_fermi_per_ev_atom": 0.3458,
  "final_energy_ev_per_cell": -19.650,
  "e_form_raw_kj_per_mol_fu": -47,
  "sg": "Cm, No. 8",
  "cell": [[-0.281, -3.406, 1.899], [-1.480, 0.364, -3.599], [5.553, -1.834, -2.456]],
  "species": ["As", "Pd", "Pd", "S"],
  "frac_coords": [[0.403, 0.828, 0.211], [0.736, 0.495, 0.044], [0.403, 0.830, 0.596], [0.736, 0.497, 0.667]]
}

---

(12)
{
  "formula": "AsPdS",
  "functional": "PBE-GGA",
  "state": "relaxed",
  "rho_g_cm3": 6.273,
  "magnetic_moment_mub_per_cell": 0.00,
  "dos_at_fermi_per_ev_atom": 0.5263,
  "final_energy_ev_per_cell": -29.932,
  "e_form_raw_kj_per_mol_fu": -96,
  "sg": "Pmn2_1, No. 31",
  "cell": [[3.876, 0.000, 0.000], [0.000, 4.890, 0.000], [0.000, 0.000, 5.961]],
  "species": ["As", "As", "Pd", "Pd", "S", "S"],
  "frac_coords": [[0.000, 0.051, 0.389], [0.500, 0.949, 0.889], [0.000, 0.250, 0.003], [0.500, 0.750, 0.503], [0.500, 0.568, 0.116], [0.000, 0.432, 0.616]]
}

---

- What is the formula in the eighth record?
  AsPd2S